CsTbPb | PBE-GGA | optimized geometry

Computed properties:
DFT formation energy (meV per atom): -148

Cell: 4.839 5.761 12.862 Å, 97.57 90.00 114.84°
Element x y z (fractional)
Pb: 0.030 0.060 0.881
Pb: 0.970 0.940 0.119
Cs: 0.331 0.663 0.315
Cs: 0.669 0.337 0.685
Tb: 0.647 0.293 0.040
Tb: 0.353 0.707 0.960

Np3TaPd12 | PBE-GGA | optimized geometry

Computed properties:
DFT formation energy (meV per atom): -363

Cell: 4.105 4.105 16.487 Å, 90.00 90.00 90.00°
Each line ends with the local moment (μB).
Element x y z (fractional)
Np: 0.000 0.000 0.246  3.64
Np: 0.000 0.000 0.500  -0.16
Np: 0.000 0.000 0.754  3.64
Ta: 0.000 0.000 0.000  0.07
Pd: 0.500 0.500 0.000  0.00
Pd: 0.500 0.500 0.242  -0.01
Pd: 0.500 0.500 0.500  0.00
Pd: 0.500 0.500 0.758  -0.01
Pd: 0.500 0.000 0.113  0.00
Pd: 0.500 0.000 0.374  0.00
Pd: 0.500 0.000 0.626  0.00
Pd: 0.500 0.000 0.887  0.00
Pd: 0.000 0.500 0.113  0.00
Pd: 0.000 0.500 0.374  0.00
Pd: 0.000 0.500 0.626  0.00
Pd: 0.000 0.500 0.887  0.00

Going through the records in order, we get total energy values of -3.21; -7.43 eV/atom.